1.
Compound: KBeAl3
Source: Alexandria
Functional: PBE
Structure: relaxed

Computed properties:
Distance to the lowest polymorph of the same formula = 35.912 kcal/mol of atoms
SG = Pm-3m (221)
ΔE_f = 2.04 eV per atom

abc: 5.753 5.753 5.753
angles: 90.00 90.00 90.00
Fractional coordinates of all 5 atoms:
K 0.000 0.000 0.000
Be 0.500 0.500 0.500
Al 0.000 0.000 0.500
Al 0.000 0.500 0.000
Al 0.500 0.000 0.000



2.
Compound: Be2InS
Source: Alexandria
Functional: PBE
Structure: relaxed

Computed properties:
Formation energy (no corrections) = 19 meV per atom
Distance to the lowest polymorph of the same formula = 0.000 kcal/mol of atoms
SG = I-42d (122)

abc: 6.038 6.038 6.038
angles: 124.14 124.14 82.97
Fractional coordinates of all 8 atoms:
Be 0.055 0.625 0.930
Be 0.375 0.305 0.430
Be 0.695 0.125 0.070
Be 0.875 0.945 0.570
In 0.250 0.750 0.500
In 0.500 0.500 0.000
S 0.000 0.000 0.000
S 0.750 0.250 0.500



3.
Compound: Tb6Pr2SmEr
Source: Alexandria
Functional: PBE
Structure: relaxed

Computed properties:
SG = C2/c (15)
ΔE_f = 0.12 eV per atom

abc: 8.819 8.819 9.784
angles: 94.60 94.60 118.02
Fractional coordinates of all 20 atoms:
Tb 0.020 0.574 0.188
Tb 0.123 0.742 0.557
Tb 0.258 0.877 0.943
Tb 0.295 0.506 0.381
Tb 0.426 0.980 0.312
Tb 0.494 0.705 0.119
Tb 0.506 0.295 0.881
Tb 0.574 0.020 0.688
Tb 0.705 0.494 0.619
Tb 0.742 0.123 0.057
Tb 0.877 0.258 0.443
Tb 0.980 0.426 0.812
Pr 0.195 0.296 0.042
Pr 0.296 0.195 0.542
Pr 0.704 0.805 0.458
Pr 0.805 0.704 0.958
Sm 0.017 0.983 0.250
Sm 0.983 0.017 0.750
Er 0.407 0.593 0.750
Er 0.593 0.407 0.250



4.
Compound: I4Br
Source: Alexandria
Functional: PBE
Structure: relaxed

Computed properties:
Formation energy (no corrections) = 475 meV per atom
Distance to the lowest polymorph of the same formula = 10.355 kcal/mol of atoms
SG = Pm-3m (221)

abc: 5.971 5.971 5.971
angles: 90.00 90.00 90.00
Fractional coordinates of all 5 atoms:
I 0.000 0.000 0.000
I 0.000 0.500 0.500
I 0.500 0.000 0.500
I 0.500 0.500 0.000
Br 0.500 0.500 0.500



5.
Compound: Cd3I3O
Source: Alexandria
Functional: PBE
Structure: relaxed

Computed properties:
Formation energy (no corrections) = -493 meV per atom
SG = Cmcm (63)

abc: 9.104 9.104 6.779
angles: 90.00 90.00 119.94
Fractional coordinates of all 14 atoms:
Cd 0.198 0.396 0.750
Cd 0.198 0.802 0.750
Cd 0.396 0.198 0.250
Cd 0.604 0.802 0.750
Cd 0.802 0.198 0.250
Cd 0.802 0.604 0.250
I 0.175 0.350 0.250
I 0.175 0.825 0.250
I 0.350 0.175 0.750
I 0.650 0.825 0.250
I 0.825 0.175 0.750
I 0.825 0.650 0.750
O 0.333 0.667 0.750
O 0.667 0.333 0.250



6.
Compound: LiNdYAg
Source: Alexandria
Functional: PBE
Structure: relaxed

Computed properties:
SG = F-43m (216)
ΔE_f = -0.08 eV per atom

abc: 5.264 5.264 5.264
angles: 60.00 60.00 60.00
Fractional coordinates of all 4 atoms:
Li 0.000 0.000 0.000
Nd 0.250 0.250 0.250
Y 0.750 0.750 0.750
Ag 0.500 0.500 0.500



7.
Compound: CoNi3Se8
Source: Alexandria
Functional: PBE
Structure: relaxed

Computed properties:
Formation energy (no corrections) = -278 meV per atom
SG = C2/m (12)

abc: 7.251 7.251 5.316
angles: 99.63 99.63 58.94
Fractional coordinates of all 12 atoms:
Co 0.000 0.000 0.000
Ni 0.000 0.500 0.000
Ni 0.500 0.000 0.000
Ni 0.500 0.500 0.000
Se 0.182 0.182 0.226
Se 0.185 0.690 0.231
Se 0.310 0.815 0.769
Se 0.315 0.315 0.774
Se 0.685 0.685 0.226
Se 0.690 0.185 0.231
Se 0.815 0.310 0.769
Se 0.818 0.818 0.774



8.
Compound: Sc3TlH
Source: Alexandria
Functional: PBE
Structure: relaxed

Computed properties:
Distance to the lowest polymorph of the same formula = 6.261 kcal/mol of atoms
SG = Imma (74)

abc: 6.608 6.608 6.608
angles: 129.30 93.02 108.30
Fractional coordinates of all 10 atoms:
Sc 0.000 0.000 0.500
Sc 0.000 0.500 0.000
Sc 0.234 0.141 0.093
Sc 0.452 0.859 0.593
Sc 0.548 0.141 0.407
Sc 0.766 0.859 0.907
Tl 0.000 0.500 0.500
Tl 0.500 0.500 0.000
H 0.199 0.949 0.250
H 0.801 0.051 0.750



| no. | magnetization (μB per atom) | DFT total energy (eV per atom) |
| --- | --- | --- |
| 1 | 0.000 | -1.17 |
| 2 | 0.000 | -3.56 |
| 3 | 0.000 | -4.55 |
| 4 | 0.362 | -1.10 |
| 5 | 0.000 | -2.26 |
| 6 | 0.001 | -4.08 |
| 7 | 0.000 | -4.64 |
| 8 | 0.000 | -5.04 |